# 1
BaLaAs | GGA-PBE | relaxed

Lattice parameters (Å, degrees): 4.4364 4.4364 7.5439 90.00 90.00 120.00
Closest atoms and distances in Å follow each position.
Sites, in units of the cell vectors:
Ba (0.0000, 0.0000, 0.0000)  3 As 3.31
La (0.3333, 0.6667, 0.5232)  3 As 2.97
As (0.6667, 0.3333, 0.7212)  3 La 2.97, 3 Ba 3.31

Output
As for the volume: 128.6 Å³ per cell. As for the polymorph energy (0 for the lowest one): 0.034 eV per atom. The space group is P3m1, No. 156.

=====

# 2
TlSi2Au | GGA-PBE | relaxed

Lattice parameters (Å, degrees): 3.8376 3.8376 7.1236 106.41 106.41 59.99
Closest atoms and distances in Å follow each position.
Sites, in units of the cell vectors:
Tl (0.0000, 0.0000, 0.0000)  3 Au 3.01-3.03, 3 Si 3.17-3.24
Si (0.4904, 0.4904, 0.4759)  3 Si 2.39, 2 Au 2.66
Si (0.7765, 0.7765, 0.3420)  3 Si 2.39
Au (0.2300, 0.2300, 0.6969)  3 Si 2.66-2.69

Output
As for the volume: 85.9 Å³ per cell. As for the polymorph energy (0 for the lowest one): 0.000 eV per atom. Its uncorrected formation energy is 170.1 meV per atom. The space group is Cm, No. 8.

=====

# 3
MgReCl3 | GGA-PBE | relaxed

Lattice parameters (Å, degrees): 4.9160 4.9160 4.9160 90.00 90.00 90.00
Closest atoms and distances in Å follow each position.
Sites, in units of the cell vectors:
Mg (0.0000, 0.0000, 0.0000)  12 Cl 3.48
Re (0.5000, 0.5000, 0.5000)  6 Cl 2.46
Cl (0.0000, 0.5000, 0.5000)  2 Re 2.46
Cl (0.5000, 0.0000, 0.5000)  2 Re 2.46
Cl (0.5000, 0.5000, 0.0000)  2 Re 2.46

Output
As for the volume: 118.8 Å³ per cell. As for the polymorph energy (0 for the lowest one): 0.114 eV per atom. Its uncorrected formation energy is 128.2 meV per atom. The space group is Pm-3m, No. 221.

=====

# 4
BeAgN | GGA-PBE | relaxed

Lattice parameters (Å, degrees): 2.9243 2.9243 8.6937 90.06 90.06 60.01
Closest atoms and distances in Å follow each position.
Sites, in units of the cell vectors:
Be (0.0000, 0.0000, 0.0000)  4 N 1.74-1.82
Be (0.6661, 0.6661, 0.7887)  3 N 1.69
Ag (0.9996, 0.9996, 0.5279)  1 N 2.29
Ag (0.6660, 0.6660, 0.2580)  3 N 2.47
N (0.3336, 0.3336, 0.0507)  3 Be 1.74-1.75
N (0.9995, 0.9995, 0.7907)  4 Be 1.69-1.82

Output
As for the volume: 64.4 Å³ per cell. Its uncorrected formation energy is -137.9 meV per atom. The space group is Cm, No. 8.

=====

# 5
BaAlC2 | GGA-PBE | relaxed

Lattice parameters (Å, degrees): 7.1433 7.1433 7.1433 141.06 141.06 56.25
Closest atoms and distances in Å follow each position.
Sites, in units of the cell vectors:
Ba (0.3750, 0.6250, 0.7500)  8 C 3.09, 4 Al 3.37
Ba (0.6250, 0.3750, 0.2500)  8 C 3.09, 4 Al 3.37
Al (0.1250, 0.8750, 0.2500)  4 C 1.97
Al (0.8750, 0.1250, 0.7500)  4 C 1.97
C (0.0000, 0.0000, 0.0000)  2 Al 1.97
C (0.0000, 0.0000, 0.5000)  2 Al 1.97
C (0.0000, 0.5000, 0.0000)  2 Al 1.97
C (0.5000, 0.0000, 0.5000)  2 Al 1.97

Output
As for the volume: 142.8 Å³ per cell. The space group is I4_1/amd, No. 141. Its total energy is -5.3205 eV/atom.

=====

# 6
LaAlCo | GGA-PBE | relaxed

Lattice parameters (Å, degrees): 6.1628 6.0764 8.7213 90.00 128.80 90.00
Closest atoms and distances in Å follow each position.
Sites, in units of the cell vectors:
La (0.1801, 0.1405, 0.3972)  2 Co 2.52-2.70
La (0.1801, 0.3595, 0.8972)  2 Co 2.52-2.70
La (0.8199, 0.6405, 0.1028)  2 Co 2.52-2.70
La (0.8199, 0.8595, 0.6028)  2 Co 2.52-2.70
Al (0.3348, 0.6341, 0.6220)  3 Co 2.38-2.44
Al (0.3348, 0.8659, 0.1220)  3 Co 2.38-2.44
Al (0.6652, 0.1341, 0.8780)  3 Co 2.38-2.44
Al (0.6652, 0.3659, 0.3780)  3 Co 2.38-2.44
Co (0.3440, 0.6337, 0.3462)  3 Al 2.38-2.44, 1 La 2.52, 1 Co 2.66
Co (0.3440, 0.8663, 0.8462)  3 Al 2.38-2.44, 1 La 2.52, 1 Co 2.66
Co (0.6560, 0.1337, 0.1538)  3 Al 2.38-2.44, 1 La 2.52, 1 Co 2.66
Co (0.6560, 0.3663, 0.6538)  3 Al 2.38-2.44, 1 La 2.52, 1 Co 2.66

Output
As for the volume: 254.5 Å³ per cell. The space group is P2_1/c, No. 14. Its total energy is -5.6506 eV/atom.